# PBE Os2Pt, optimized geometry
# - Excess energy over the best structure of this formula in the dataset: 0.112 eV/atom
# - Total energy: -9.34 eV per atom
# - Total moment: 0.000 μB per formula unit
# - ΔH_f (0 K): 0.16 eV per atom
data_Os2Pt
_chemical_formula_sum 'Os8 Pt4'
_symmetry_space_group_name_H-M 'P 1'
_symmetry_Int_Tables_number 1
_cell_length_a 10.079
_cell_length_b 2.778
_cell_length_c 6.516
_cell_angle_alpha 90.00
_cell_angle_beta 104.46
_cell_angle_gamma 90.00
loop_
_symmetry_equiv_pos_as_xyz
'x,y,z'
loop_
_atom_site_label
_atom_site_fract_x
_atom_site_fract_y
_atom_site_fract_z
Os1 0.000 0.000 0.000
Os2 0.054 0.000 0.614
Os3 0.160 0.500 0.343
Os4 0.335 0.000 0.665
Os5 0.500 0.500 0.000
Os6 0.554 0.500 0.614
Os7 0.660 0.000 0.343
Os8 0.835 0.500 0.665
Pt1 0.218 0.500 0.940
Pt2 0.389 0.000 0.283
Pt3 0.718 0.000 0.940
Pt4 0.889 0.500 0.283

***

# PBE Os4Pt, optimized geometry
# - Excess energy over the best structure of this formula in the dataset: 1.314 eV/atom
# - Total energy: -8.21 eV per atom
# - Total moment: 1.138 μB per formula unit
# - ΔH_f (0 K): 1.98 eV per atom
data_Os4Pt
_chemical_formula_sum 'Os8 Pt2'
_symmetry_space_group_name_H-M 'P 1'
_symmetry_Int_Tables_number 1
_cell_length_a 5.722
_cell_length_b 5.722
_cell_length_c 5.722
_cell_angle_alpha 90.00
_cell_angle_beta 90.00
_cell_angle_gamma 90.00
loop_
_symmetry_equiv_pos_as_xyz
'x,y,z'
loop_
_atom_site_label
_atom_site_fract_x
_atom_site_fract_y
_atom_site_fract_z
Os1 0.250 0.250 0.250
Os2 0.250 0.250 0.750
Os3 0.250 0.750 0.250
Os4 0.250 0.750 0.750
Os5 0.750 0.250 0.250
Os6 0.750 0.250 0.750
Os7 0.750 0.750 0.250
Os8 0.750 0.750 0.750
Pt1 0.000 0.000 0.000
Pt2 0.500 0.500 0.500

***

# PBE OsPt, optimized geometry
# - Total energy: -7.15 eV per atom
# - Total moment: 0.000 μB per formula unit
# - ΔH_f (0 K): 1.48 eV per atom
data_OsPt
_chemical_formula_sum 'Os6 Pt6'
_symmetry_space_group_name_H-M 'P 1'
_symmetry_Int_Tables_number 1
_cell_length_a 10.000
_cell_length_b 10.000
_cell_length_c 3.766
_cell_angle_alpha 90.00
_cell_angle_beta 90.00
_cell_angle_gamma 120.00
loop_
_symmetry_equiv_pos_as_xyz
'x,y,z'
loop_
_atom_site_label
_atom_site_fract_x
_atom_site_fract_y
_atom_site_fract_z
Os1 0.084 0.421 0.250
Os2 0.337 0.916 0.250
Os3 0.421 0.337 0.750
Os4 0.579 0.663 0.250
Os5 0.663 0.084 0.750
Os6 0.916 0.579 0.750
Pt1 0.096 0.673 0.250
Pt2 0.327 0.424 0.250
Pt3 0.424 0.096 0.750
Pt4 0.576 0.904 0.250
Pt5 0.673 0.576 0.750
Pt6 0.904 0.327 0.750

***

# PBE OsPt2, optimized geometry
# - Excess energy over the best structure of this formula in the dataset: 0.034 eV/atom
# - Total energy: -7.66 eV per atom
# - Total moment: 0.000 μB per formula unit
# - ΔH_f (0 K): 0.11 eV per atom
data_OsPt2
_chemical_formula_sum 'Os4 Pt8'
_symmetry_space_group_name_H-M 'P 1'
_symmetry_Int_Tables_number 1
_cell_length_a 10.371
_cell_length_b 2.779
_cell_length_c 6.620
_cell_angle_alpha 90.00
_cell_angle_beta 106.17
_cell_angle_gamma 90.00
loop_
_symmetry_equiv_pos_as_xyz
'x,y,z'
loop_
_atom_site_label
_atom_site_fract_x
_atom_site_fract_y
_atom_site_fract_z
Os1 0.146 0.000 0.026
Os2 0.354 0.500 0.974
Os3 0.646 0.500 0.026
Os4 0.854 0.000 0.974
Pt1 0.031 0.500 0.288
Pt2 0.193 0.000 0.645
Pt3 0.307 0.500 0.355
Pt4 0.469 0.000 0.712
Pt5 0.531 0.000 0.288
Pt6 0.693 0.500 0.645
Pt7 0.807 0.000 0.355
Pt8 0.969 0.500 0.712

***

# PBE Os4Pt, optimized geometry
# - Excess energy over the best structure of this formula in the dataset: 0.000 eV/atom
# - Total energy: -9.53 eV per atom
# - Total moment: 0.000 μB per formula unit
# - ΔH_f (0 K): 0.66 eV per atom
data_Os4Pt
_chemical_formula_sum 'Os8 Pt2'
_symmetry_space_group_name_H-M 'P 1'
_symmetry_Int_Tables_number 1
_cell_length_a 3.750
_cell_length_b 3.750
_cell_length_c 11.739
_cell_angle_alpha 90.00
_cell_angle_beta 90.00
_cell_angle_gamma 90.00
loop_
_symmetry_equiv_pos_as_xyz
'x,y,z'
loop_
_atom_site_label
_atom_site_fract_x
_atom_site_fract_y
_atom_site_fract_z
Os1 0.000 0.000 0.103
Os2 0.000 0.000 0.897
Os3 0.000 0.500 0.250
Os4 0.000 0.500 0.750
Os5 0.500 0.000 0.250
Os6 0.500 0.000 0.750
Os7 0.500 0.500 0.397
Os8 0.500 0.500 0.603
Pt1 0.000 0.000 0.500
Pt2 0.500 0.500 0.000

***

# PBE OsPt2, optimized geometry
# - Excess energy over the best structure of this formula in the dataset: 0.083 eV/atom
# - Total energy: -7.62 eV per atom
# - Total moment: 0.000 μB per formula unit
# - ΔH_f (0 K): 0.16 eV per atom
data_OsPt2
_chemical_formula_sum 'Os4 Pt8'
_symmetry_space_group_name_H-M 'P 1'
_symmetry_Int_Tables_number 1
_cell_length_a 10.238
_cell_length_b 2.784
_cell_length_c 6.636
_cell_angle_alpha 90.00
_cell_angle_beta 104.31
_cell_angle_gamma 90.00
loop_
_symmetry_equiv_pos_as_xyz
'x,y,z'
loop_
_atom_site_label
_atom_site_fract_x
_atom_site_fract_y
_atom_site_fract_z
Os1 0.000 0.000 0.000
Os2 0.150 0.500 0.310
Os3 0.500 0.500 0.000
Os4 0.650 0.000 0.310
Pt1 0.056 0.000 0.595
Pt2 0.213 0.500 0.936
Pt3 0.332 0.000 0.658
Pt4 0.379 0.000 0.267
Pt5 0.556 0.500 0.595
Pt6 0.713 0.000 0.936
Pt7 0.832 0.500 0.658
Pt8 0.879 0.500 0.267